First-principles (PBE) data for Ho2PuTlO8 after structural relaxation, as listed in Alexandria.

- E_form (uncorrected): -2.49 eV/atom
- E_tot: -190.755 eV/cell
- Calculated density: 8.44 g/cm3

```
data_Ho2PuTlO8
_chemical_formula_sum 'Ho4 Pu2 Tl2 O16'
_symmetry_space_group_name_H-M 'C m m m'
_symmetry_Int_Tables_number 65
_symmetry_space_group_name_Hall '-C 2 2'
_cell_length_a 6.876
_cell_length_b 7.259
_cell_length_c 7.145
_cell_angle_alpha 90.00
_cell_angle_beta 90.00
_cell_angle_gamma 90.00
loop_
_atom_site_label
_atom_site_type_symbol
_atom_site_fract_x
_atom_site_fract_y
_atom_site_fract_z
Ho1 Ho 0.000 0.000 0.249
Pu1 Pu 0.000 0.500 0.500
Tl1 Tl 0.000 0.500 0.000
O1 O 0.000 0.310 0.293
O2 O 0.199 0.000 0.000
O3 O 0.206 0.000 0.500
```